Record 1
# LiRe2SnN PBE optimized geometry
data_LiRe2SnN
_chemical_formula_sum 'Li1 Re2 Sn1 N1'
_space_group_name_H-M_alt 'P 4/m m m'
_space_group_IT_number 123
_space_group_name_Hall '-P 4 2'
_cell_length_a 5.197
_cell_length_b 5.197
_cell_length_c 4.184
_cell_angle_alpha 90.00
_cell_angle_beta 90.00
_cell_angle_gamma 90.00
loop_
_atom_site_label
_atom_site_fract_x
_atom_site_fract_y
_atom_site_fract_z
_atom_site_occupancy
Li1 0.000 0.000 0.000 1
Re1 0.000 0.500 0.500 1
Sn1 0.500 0.500 0.500 1
N1 0.500 0.500 0.000 1
# * E_form (uncorrected): 2.59 eV per atom


Record 2
# VCr2GeOs PBE optimized geometry
data_VCr2GeOs
_chemical_formula_sum 'V1 Cr2 Ge1 Os1'
_space_group_name_H-M_alt 'P 4/m m m'
_space_group_IT_number 123
_space_group_name_Hall '-P 4 2'
_cell_length_a 4.666
_cell_length_b 4.666
_cell_length_c 4.632
_cell_angle_alpha 90.00
_cell_angle_beta 90.00
_cell_angle_gamma 90.00
loop_
_atom_site_label
_atom_site_fract_x
_atom_site_fract_y
_atom_site_fract_z
_atom_site_occupancy
V1 0.000 0.000 0.000 1
Cr1 0.000 0.500 0.500 1
Ge1 0.500 0.500 0.000 1
Os1 0.000 0.000 0.500 1
# * calculated formation energy: 1180 meV per atom